(1)
PBE Li8AgGe2, relaxed; crystal system = monoclinic; E = -30.205 eV for the cell shown; volume = 16.62 A^3/atom; ΔE_f = -0.26 eV per atom; space group = C2/m
1.0
7.361 -2.225 0.000
7.361 2.225 0.000
-2.552 0.000 5.582
Li Ag Ge
8 1 2
Direct
0.000 0.000 0.211
0.000 0.000 0.789
0.176 0.176 0.676
0.341 0.341 0.072
0.341 0.341 0.610
0.659 0.659 0.390
0.659 0.659 0.928
0.824 0.824 0.324
0.500 0.500 0.500
0.182 0.182 0.182
0.818 0.818 0.818

=====

(2)
PBE Li3AgGe2, relaxed; crystal system = orthorhombic; E = -19.302 eV for the cell shown; volume = 15.86 A^3/atom; ΔE_f = -0.25 eV per atom; space group = Cmmm
1.0
1.954 -6.027 0.000
1.954 6.027 0.000
0.000 0.000 4.040
Li Ag Ge
3 1 2
Direct
0.000 0.000 0.000
0.328 0.672 0.000
0.672 0.328 0.000
0.500 0.500 0.500
0.171 0.829 0.500
0.829 0.171 0.500

=====

(3)
PBE Li2Ag5Ge2, relaxed; crystal system = orthorhombic; E = -53.894 eV for the cell shown; volume = 17.62 A^3/atom; ΔE_f = 0.04 eV per atom; space group = Cmce
1.0
6.142 -3.638 0.000
6.142 3.638 0.000
0.000 0.000 7.099
Li Ag Ge
4 10 4
Direct
0.123 0.877 0.874
0.377 0.623 0.374
0.623 0.377 0.626
0.877 0.123 0.126
0.000 0.000 0.500
0.051 0.690 0.177
0.190 0.551 0.677
0.310 0.949 0.177
0.449 0.810 0.677
0.500 0.500 0.000
0.551 0.190 0.323
0.690 0.051 0.823
0.810 0.449 0.323
0.949 0.310 0.823
0.213 0.213 0.500
0.287 0.287 0.000
0.713 0.713 0.000
0.787 0.787 0.500

=====

(4)
PBE Li5AgGe2, relaxed; crystal system = orthorhombic; E = -23.600 eV for the cell shown; volume = 15.50 A^3/atom; ΔE_f = -0.24 eV per atom; space group = Fmm2
1.0
0.000 4.481 3.093
4.472 0.000 3.093
4.472 4.481 0.000
Li Ag Ge
5 1 2
Direct
0.000 0.000 0.000
0.001 0.500 0.500
0.001 0.500 0.999
0.500 0.001 0.500
0.500 0.001 0.999
0.501 0.501 0.499
0.000 0.000 0.500
0.500 0.500 0.000

=====

(5)
PBE LiAg2Ge, relaxed; crystal system = tetragonal; E = -12.657 eV for the cell shown; volume = 16.74 A^3/atom; ΔE_f = -0.11 eV per atom; space group = P4/mmm
1.0
4.226 0.000 0.000
0.000 4.226 0.000
0.000 0.000 3.750
Li Ag Ge
1 2 1
Direct
0.000 0.000 0.000
0.000 0.500 0.500
0.500 0.000 0.500
0.500 0.500 0.000

=====

(6)
PBE LiAg2Ge, relaxed; crystal system = tetragonal; E = -23.560 eV for the cell shown; volume = 18.74 A^3/atom; ΔE_f = 0.11 eV per atom; space group = I-42d
1.0
-2.001 2.001 9.362
2.001 -2.001 9.362
2.001 2.001 -9.362
Li Ag Ge
2 4 2
Direct
0.000 0.000 0.000
0.750 0.250 0.500
0.128 0.625 0.003
0.375 0.378 0.503
0.622 0.125 0.997
0.875 0.872 0.497
0.250 0.750 0.500
0.500 0.500 0.000

=====

(7)
PBE LiAgGe, relaxed; crystal system = hexagonal; E = -9.950 eV for the cell shown; volume = 17.20 A^3/atom; ΔE_f = -0.19 eV per atom; space group = P-6m2
1.0
4.527 0.000 0.000
-2.263 3.920 0.000
0.000 0.000 2.908
Li Ag Ge
1 1 1
Direct
0.000 0.000 0.000
0.667 0.333 0.500
0.333 0.667 0.500

=====

(8)
PBE Li6AgGe2, relaxed; crystal system = monoclinic; E = -25.833 eV for the cell shown; volume = 15.91 A^3/atom; ΔE_f = -0.25 eV per atom; space group = C2/m
1.0
6.913 -3.669 0.000
6.913 3.669 0.000
-0.544 0.000 2.823
Li Ag Ge
6 1 2
Direct
0.146 0.512 0.836
0.168 0.832 0.000
0.488 0.854 0.164
0.512 0.146 0.836
0.832 0.168 0.000
0.854 0.488 0.164
0.500 0.500 0.500
0.152 0.152 0.638
0.848 0.848 0.362

=====

(9)
PBE Li5Ag6Ge, relaxed; crystal system = orthorhombic; E = -33.620 eV for the cell shown; volume = 16.02 A^3/atom; ΔE_f = -0.19 eV per atom; space group = Immm
1.0
-2.203 3.279 6.650
2.203 -3.279 6.650
2.203 3.279 -6.650
Li Ag Ge
5 6 1
Direct
0.000 0.000 0.000
0.171 0.671 0.500
0.340 0.340 0.000
0.660 0.660 0.000
0.829 0.329 0.500
0.072 0.830 0.242
0.236 0.500 0.736
0.412 0.170 0.242
0.588 0.830 0.758
0.764 0.500 0.264
0.928 0.170 0.758
0.500 0.000 0.500

=====

(10)
PBE Li4Ag2Ge, relaxed; crystal system = trigonal; E = -19.399 eV for the cell shown; volume = 16.51 A^3/atom; ΔE_f = -0.20 eV per atom; space group = R-3m
1.0
2.251 1.300 6.584
-2.251 1.300 6.584
0.000 -2.599 6.584
Li Ag Ge
4 2 1
Direct
0.085 0.085 0.085
0.365 0.365 0.365
0.635 0.635 0.635
0.915 0.915 0.915
0.224 0.224 0.224
0.776 0.776 0.776
0.500 0.500 0.500

=====

(11)
PBE Li12Ag6Ge, relaxed; crystal system = trigonal; E = -47.764 eV for the cell shown; volume = 17.47 A^3/atom; ΔE_f = -0.16 eV per atom; space group = R-3
1.0
4.916 2.838 3.965
-4.916 2.838 3.965
0.000 -5.676 3.965
Li Ag Ge
12 6 1
Direct
0.030 0.307 0.929
0.071 0.970 0.693
0.134 0.357 0.468
0.307 0.929 0.030
0.357 0.468 0.134
0.468 0.134 0.357
0.532 0.866 0.643
0.643 0.532 0.866
0.693 0.071 0.970
0.866 0.643 0.532
0.929 0.030 0.307
0.970 0.693 0.071
0.222 0.771 0.383
0.229 0.617 0.778
0.383 0.222 0.771
0.617 0.778 0.229
0.771 0.383 0.222
0.778 0.229 0.617
0.500 0.500 0.500

=====

(12)
PBE LiLuAgGe, relaxed; crystal system = cubic; E = -15.631 eV for the cell shown; volume = 19.15 A^3/atom; ΔE_f = -0.43 eV per atom; space group = F-43m
1.0
0.000 3.371 3.371
3.371 0.000 3.371
3.371 3.371 0.000
Li Lu Ag Ge
1 1 1 1
Direct
0.000 0.000 0.000
0.500 0.500 0.500
0.250 0.250 0.250
0.750 0.750 0.750

=====

- What is the E in the first record?
  -30.205 eV for the cell shown

=====

- Among the records above, which one has the lowest volume?
  Li5AgGe2

=====

- The highest volume belongs to which entry?
  LiLuAgGe

=====

What did the third record say?
PBE Li2Ag5Ge2, relaxed; crystal system = orthorhombic; E = -53.894 eV for the cell shown; volume = 17.62 A^3/atom; ΔE_f = 0.04 eV per atom; space group = Cmce
1.0
6.142 -3.638 0.000
6.142 3.638 0.000
0.000 0.000 7.099
Li Ag Ge
4 10 4
Direct
0.123 0.877 0.874
0.377 0.623 0.374
0.623 0.377 0.626
0.877 0.123 0.126
0.000 0.000 0.500
0.051 0.690 0.177
0.190 0.551 0.677
0.310 0.949 0.177
0.449 0.810 0.677
0.500 0.500 0.000
0.551 0.190 0.323
0.690 0.051 0.823
0.810 0.449 0.323
0.949 0.310 0.823
0.213 0.213 0.500
0.287 0.287 0.000
0.713 0.713 0.000
0.787 0.787 0.500